[1]
First-principles (PBE-GGA) data for Ta4MnIn after structural relaxation, as listed in Alexandria. Values from VASP.

```
&SYSTEM
  ibrav = 0, nat = 6, ntyp = 3
/
ATOMIC_SPECIES
Ta 180.95 Ta.upf
Mn 54.94 Mn.upf
In 114.82 In.upf
CELL_PARAMETERS angstrom
0.000 3.877 3.877
3.877 0.000 3.877
3.877 3.877 0.000
ATOMIC_POSITIONS crystal
Ta 0.125 0.125 0.125
Ta 0.125 0.125 0.625
Ta 0.125 0.625 0.125
Ta 0.625 0.125 0.125
Mn 0.500 0.500 0.500
In 0.750 0.750 0.750
```

Computed properties:
* energy relative to the elements: 492 meV per atom
* calculated density: 12.7 g/cm³
* calculated volume: 116.53 Å³/f.u.
* space group: No. 216
* magnetic moment: 2.81 μB per formula unit
* Fermi-level density of states: 1.08 states/eV per atom

=====

[2]
First-principles (PBE-GGA) data for Ta3MnIn after structural relaxation, as listed in Alexandria. Values from VASP.

```
&SYSTEM
  ibrav = 0, nat = 5, ntyp = 3
/
ATOMIC_SPECIES
Ta 180.95 Ta.upf
Mn 54.94 Mn.upf
In 114.82 In.upf
CELL_PARAMETERS angstrom
4.998 0.000 0.000
0.000 4.998 0.000
0.000 0.000 4.998
ATOMIC_POSITIONS crystal
Ta 0.000 0.000 0.500
Ta 0.000 0.500 0.000
Ta 0.500 0.000 0.000
Mn 0.500 0.500 0.500
In 0.000 0.000 0.000
```

Computed properties:
* energy relative to the elements: 2270 meV per atom
* calculated density: 9.5 g/cm³
* calculated volume: 124.84 Å³/f.u.
* space group: No. 221
* magnetic moment: 4.57 μB per formula unit
* Fermi-level density of states: 1.29 states/eV per atom
* polymorph energy (0 for the lowest one): 1621.8 meV per atom

=====

[3]
First-principles (PBE-GGA) data for TaMnIn after structural relaxation, as listed in Alexandria. Values from VASP.

```
&SYSTEM
  ibrav = 0, nat = 3, ntyp = 3
/
ATOMIC_SPECIES
Ta 180.95 Ta.upf
Mn 54.94 Mn.upf
In 114.82 In.upf
CELL_PARAMETERS angstrom
-1.592 1.592 5.085
1.592 -1.592 5.085
1.592 1.592 -5.085
ATOMIC_POSITIONS crystal
Ta 0.000 0.000 0.000
Mn 0.377 0.377 0.000
In 0.701 0.701 0.000
```

Computed properties:
* energy relative to the elements: 163 meV per atom
* calculated density: 11.3 g/cm³
* calculated volume: 51.56 Å³/f.u.
* space group: No. 107
* magnetic moment: 1.38 μB per formula unit
* Fermi-level density of states: 0.81 states/eV per atom
* polymorph energy (0 for the lowest one): 0.0 meV per atom

=====

[4]
First-principles (PBE-GGA) data for TaMnIn3 after structural relaxation, as listed in Alexandria. Values from VASP.

```
&SYSTEM
  ibrav = 0, nat = 5, ntyp = 3
/
ATOMIC_SPECIES
Ta 180.95 Ta.upf
Mn 54.94 Mn.upf
In 114.82 In.upf
CELL_PARAMETERS angstrom
5.379 0.000 0.000
0.000 5.379 0.000
0.000 0.000 5.379
ATOMIC_POSITIONS crystal
Ta 0.000 0.000 0.000
Mn 0.500 0.500 0.500
In 0.000 0.000 0.500
In 0.000 0.500 0.000
In 0.500 0.000 0.000
```

Computed properties:
* energy relative to the elements: 1051 meV per atom
* calculated density: 6.2 g/cm³
* calculated volume: 155.65 Å³/f.u.
* space group: No. 221
* magnetic moment: 4.74 μB per formula unit
* Fermi-level density of states: 0.60 states/eV per atom
* polymorph energy (0 for the lowest one): 0.0 meV per atom

=====

[5]
First-principles (PBE-GGA) data for ZrTaMn2In after structural relaxation, as listed in Alexandria. Values from VASP.

```
&SYSTEM
  ibrav = 0, nat = 5, ntyp = 4
/
ATOMIC_SPECIES
Zr 91.22 Zr.upf
Ta 180.95 Ta.upf
Mn 54.94 Mn.upf
In 114.82 In.upf
CELL_PARAMETERS angstrom
4.721 0.000 0.000
0.000 4.721 0.000
0.000 0.000 5.093
ATOMIC_POSITIONS crystal
Zr 0.000 0.000 0.000
Ta 0.000 0.000 0.500
Mn 0.000 0.500 0.000
Mn 0.500 0.000 0.000
In 0.500 0.500 0.500
```

Computed properties:
* energy relative to the elements: 1454 meV per atom
* calculated density: 7.3 g/cm³
* calculated volume: 113.51 Å³/f.u.
* space group: No. 123
* magnetic moment: 5.84 μB per formula unit
* Fermi-level density of states: 1.03 states/eV per atom

=====

[6]
First-principles (PBE-GGA) data for Tb2MnIn after structural relaxation, as listed in Alexandria. Values from VASP.

```
&SYSTEM
  ibrav = 0, nat = 4, ntyp = 3
/
ATOMIC_SPECIES
Tb 158.93 Tb.upf
Mn 54.94 Mn.upf
In 114.82 In.upf
CELL_PARAMETERS angstrom
3.614 0.000 0.000
0.000 3.614 0.000
0.000 0.000 7.632
ATOMIC_POSITIONS crystal
Tb 0.000 0.000 0.230
Tb 0.000 0.000 0.770
Mn 0.500 0.500 0.000
In 0.500 0.500 0.500
```

Computed properties:
* energy relative to the elements: -143 meV per atom
* calculated density: 8.1 g/cm³
* calculated volume: 99.66 Å³/f.u.
* space group: No. 123
* magnetic moment: 3.16 μB per formula unit
* Fermi-level density of states: 0.95 states/eV per atom